Material: Rb3Nd2HfS6
Method: DFT, PBE
State: relaxed

```
data_Rb3Nd2HfS6
_chemical_formula_sum 'Rb3 Nd2 Hf1 S6'
_symmetry_space_group_name_H-M 'P 1'
_symmetry_Int_Tables_number 1
_cell_length_a 7.039
_cell_length_b 7.039
_cell_length_c 8.067
_cell_angle_alpha 98.40
_cell_angle_beta 98.40
_cell_angle_gamma 120.00
loop_
_symmetry_equiv_pos_as_xyz
'x,y,z'
loop_
_atom_site_label
_atom_site_fract_x
_atom_site_fract_y
_atom_site_fract_z
Rb1 0.000 0.000 0.000
Rb2 0.329 0.671 0.000
Rb3 0.671 0.329 0.000
Nd1 0.166 0.834 0.500
Nd2 0.834 0.166 0.500
Hf1 0.500 0.500 0.500
S1 0.129 0.435 0.306
S2 0.259 0.259 0.695
S3 0.435 0.129 0.306
S4 0.565 0.871 0.694
S5 0.741 0.741 0.305
S6 0.871 0.565 0.694
```

Output
- ΔE_f (raw) (eV/atom) = -1.67
- SG = C2/m (12)
- calculated volume (Å³/atom) = 27.59
- D(E_F) (states/eV/cell) = 4.2